Entry from Alexandria: an optimized crystal structure of La4Tb2Ho3 (PBE-GGA).

Values from the calculation:
Its formation energy is 0.0302 eV/atom. The value obtained for the relative energy among the computed polymorphs is 0.000 eV per atom. The symmetry is No. 12. As for the size of the total moment: 0.000 μB/atom. As for the calculated volume: 33.90 Å³/atom. The electronic total energy comes out at -42.4 eV for the cell shown.

a b c (Å): 8.130 8.130 8.091
angles (deg): 107.47 107.47 36.98
Fractional positions:
La  0.054  0.054  0.330
La  0.277  0.277  0.668
La  0.723  0.723  0.332
La  0.946  0.946  0.670
Tb  0.167  0.167  0.000
Tb  0.833  0.833  0.000
Ho  0.388  0.388  0.329
Ho  0.500  0.500  0.000
Ho  0.612  0.612  0.671

Entry from Alexandria: an optimized crystal structure of La6Tb8Ho (PBE-GGA).

Values from the calculation:
Its formation energy is 0.1108 eV/atom. The symmetry is No. 148. As for the size of the total moment: 0.000 μB/atom. As for the calculated volume: 34.40 Å³/atom. The electronic total energy comes out at -69.5 eV for the cell shown.

a b c (Å): 8.837 8.837 8.837
angles (deg): 62.57 62.57 62.57
Fractional positions:
La  0.035  0.594  0.734
La  0.266  0.965  0.406
La  0.406  0.266  0.965
La  0.594  0.734  0.035
La  0.734  0.035  0.594
La  0.965  0.406  0.266
Tb  0.077  0.077  0.077
Tb  0.209  0.614  0.261
Tb  0.261  0.209  0.614
Tb  0.386  0.739  0.791
Tb  0.614  0.261  0.209
Tb  0.739  0.791  0.386
Tb  0.791  0.386  0.739
Tb  0.923  0.923  0.923
Ho  0.500  0.500  0.500

Repeat the second record exactly.
Entry from Alexandria: an optimized crystal structure of La6Tb8Ho (PBE-GGA).

Values from the calculation:
Its formation energy is 0.1108 eV/atom. The symmetry is No. 148. As for the size of the total moment: 0.000 μB/atom. As for the calculated volume: 34.40 Å³/atom. The electronic total energy comes out at -69.5 eV for the cell shown.

a b c (Å): 8.837 8.837 8.837
angles (deg): 62.57 62.57 62.57
Fractional positions:
La  0.035  0.594  0.734
La  0.266  0.965  0.406
La  0.406  0.266  0.965
La  0.594  0.734  0.035
La  0.734  0.035  0.594
La  0.965  0.406  0.266
Tb  0.077  0.077  0.077
Tb  0.209  0.614  0.261
Tb  0.261  0.209  0.614
Tb  0.386  0.739  0.791
Tb  0.614  0.261  0.209
Tb  0.739  0.791  0.386
Tb  0.791  0.386  0.739
Tb  0.923  0.923  0.923
Ho  0.500  0.500  0.500

> What is the formula in the second record?

La6Tb8Ho